Material: Hf2Co3Os
Method: DFT, PBE
State: relaxed

Cell: 4.992 4.992 4.992 Å, 59.01 59.01 59.01°
Fractional positions:
Hf  0.124  0.124  0.124
Hf  0.876  0.876  0.876
Co  0.000  0.500  0.500
Co  0.500  0.000  0.500
Co  0.500  0.500  0.000
Os  0.500  0.500  0.500

Output
* calculated volume: 86.0 Å³ per cell
* VASP energy: -0.336 hartree per atom
* DOS(E_F): 7.25 states/eV/cell
* formation energy: -0.389 eV/atom

Material: Bi4Sb2I5
Method: DFT, PBE
State: relaxed

Cell: 14.245 14.245 8.535 Å, 99.77 99.77 17.59°
Fractional positions:
Bi  0.016  0.016  0.320
Bi  0.334  0.334  0.602
Bi  0.666  0.666  0.398
Bi  0.984  0.984  0.680
Sb  0.429  0.429  0.485
Sb  0.571  0.571  0.515
I  0.144  0.144  0.136
I  0.202  0.202  0.657
I  0.500  0.500  0.000
I  0.798  0.798  0.343
I  0.856  0.856  0.864

Output
* raw formation energy: -0.19 eV/atom
* calculated volume: 515.5 Å³ per cell
* VASP energy: -0.112 hartree per atom
* DOS(E_F): 2.29 states/eV/cell

Material: Dy2FeHg
Method: DFT, PBE
State: relaxed

Cell: 5.057 5.057 5.057 Å, 60.00 60.00 60.00°
Fractional positions:
Dy  0.250  0.250  0.250
Dy  0.750  0.750  0.750
Fe  0.000  0.000  0.000
Hg  0.500  0.500  0.500

Output
* E above lowest polymorph: 98 meV per atom
* calculated volume: 91.5 Å³ per cell
* VASP energy: -0.168 hartree per atom
* DOS(E_F): 7.17 states/eV/cell
* formation energy: -0.091 eV/atom

Material: NaPmF2
Method: DFT, PBE
State: relaxed

Cell: 8.063 8.063 8.063 Å, 24.45 24.45 24.45°
Fractional positions:
Na  0.000  0.000  0.000
Pm  0.500  0.500  0.500
F  0.100  0.100  0.100
F  0.900  0.900  0.900

Output
* raw formation energy: -2.35 eV/atom
* calculated volume: 79.0 Å³ per cell
* VASP energy: -0.177 hartree per atom
* DOS(E_F): 2.75 states/eV/cell

Material: BaTmTlPb
Method: DFT, PBE
State: relaxed

Cell: 5.721 5.721 5.721 Å, 60.00 60.00 60.00°
Fractional positions:
Ba  0.000  0.000  0.000
Tm  0.500  0.500  0.500
Tl  0.750  0.750  0.750
Pb  0.250  0.250  0.250

Output
* calculated volume: 132.4 Å³ per cell
* VASP energy: -0.125 hartree per atom
* DOS(E_F): 2.86 states/eV/cell
* formation energy: -0.282 eV/atom

Material: Mn2ZnCo
Method: DFT, PBE
State: relaxed

Cell: 4.417 4.417 4.417 Å, 131.68 131.68 70.73°
Fractional positions:
Mn  0.000  0.000  0.000
Mn  0.750  0.250  0.500
Zn  0.250  0.750  0.500
Co  0.500  0.500  0.000

Output
* calculated volume: 47.1 Å³ per cell
* VASP energy: -0.240 hartree per atom
* DOS(E_F): 4.46 states/eV/cell
* formation energy: 0.146 eV/atom

Material: Cs2HgRhF6
Method: DFT, PBE
State: relaxed

Cell: 6.656 6.653 6.642 Å, 60.09 60.04 59.87°
Fractional positions:
Cs  0.250  0.250  0.250
Cs  0.750  0.750  0.750
Hg  0.000  0.000  0.000
Rh  0.500  0.500  0.500
F  0.287  0.713  0.287
F  0.287  0.713  0.713
F  0.288  0.288  0.712
F  0.712  0.712  0.288
F  0.713  0.287  0.287
F  0.713  0.287  0.713

Output
* raw formation energy: -1.96 eV/atom
* calculated volume: 208.0 Å³ per cell
* VASP energy: -0.148 hartree per atom
* DOS(E_F): 13.87 states/eV/cell